Compound: Fe2O3
Source: Alexandria via LeMat-Bulk
Functional: PBE with a Hubbard U
Structure: optimized geometry

Cell: 5.145 5.145 5.511 Å, 90.00 117.83 120.00°
Last column: magnetic moment on the atom in μB.
Sites, in units of the cell vectors:
O 0.500 0.555 0.748  0.34
O 0.804 0.252 0.748  0.34
O 0.196 0.948 0.748  0.34
Fe 0.707 0.355 0.059  4.39
Fe 0.707 0.855 0.559  4.39
O 0.500 0.448 0.248  0.34
Fe 0.293 0.148 0.437  4.39
Fe 0.293 0.648 0.937  4.39
O 0.804 0.055 0.248  0.34
O 0.196 0.752 0.248  0.34

Output
* SG: R-3c
* ρ: 5.0 g cm⁻³
* energy: -66.61 eV/cell